Below is an optimized crystal structure of Cr2W2O, with properties calculated at the PBE+U level.

## Properties
Space-group type: I4/mmm, No. 139
DOS at the Fermi energy (states/eV per cell): 4.5
Total moment (μB per formula unit): 6.29
E above lowest polymorph (meV per atom): 0

Structure (extended XYZ):
```
5
Lattice="3.588 0.000 0.000 0.000 3.588 0.000 1.794 1.794 7.423" Properties=species:S:1:pos:R:3 pbc="T T T"
Cr 1.794 1.794 1.361
O 0.000 0.000 0.000
W 1.794 3.588 3.711
W 3.588 1.794 3.711
Cr 3.588 3.588 6.062
```